The following is a SCAN calculation of Tl2Mo3SeO12 at its PBEsol-relaxed geometry, from Alexandria via LeMat-Bulk.

extended XYZ file:
```
36
Lattice="7.2628 0.0000 0.0000 -3.6314 6.2898 0.0000 0.0000 0.0000 11.8366" Properties=species:S:1:pos:R:3 pbc="T T T"
Tl 0.0000 4.1932 0.0000
Tl 0.0000 4.1932 4.8904
Tl 3.6314 2.0966 5.9183
Tl 3.6314 2.0966 10.8087
Mo -0.2522 2.1324 8.6992
Mo -1.6587 5.4420 8.6992
Mo 1.9728 0.8478 2.7809
Mo 1.9108 5.0052 8.6992
Mo 3.3793 4.1575 2.7809
Mo 5.5423 1.2846 2.7809
Se 0.0000 0.0000 5.5736
Se 0.0000 0.0000 11.4919
O -1.3553 3.4543 9.2670
O -2.2962 5.4770 2.6310
O -2.2832 5.4890 10.7529
O 0.0194 1.5680 10.7529
O 0.0363 1.5628 2.6310
O -0.0274 2.5575 7.0516
O -1.4028 5.0348 7.0516
O 1.3352 0.8128 8.5493
O 1.3482 0.8008 4.8346
O 2.2286 1.2550 1.1333
O 1.3176 3.3890 9.2670
O 0.0377 5.7364 9.2670
O 2.2762 2.8355 3.3487
O 3.6691 0.5534 3.3487
O 1.4302 4.9873 7.0516
O 2.2638 5.5226 10.7529
O 2.2599 5.5399 2.6310
O 3.6040 3.7323 1.1333
O 5.0617 1.3025 1.1333
O 5.8913 0.7499 8.5493
O 5.8952 0.7672 4.8346
O 3.6508 4.7218 4.8346
O 3.6677 4.7270 8.5493
O 4.9490 2.9008 3.3487
```

Summary:
For the formation energy (no corrections), the calculation gives -1740.8 meV per atom. Its space-group type is P31c (159). The mass density is 5.9 g/cm3.

***

The following is a SCAN calculation of YMoSeO2 at its PBEsol-relaxed geometry, from Alexandria via LeMat-Bulk.

extended XYZ file:
```
5
Lattice="4.1159 0.0000 0.0000 0.0000 4.1159 0.0000 0.0000 0.0000 4.7788" Properties=species:S:1:pos:R:3 pbc="T T T"
Y 0.0000 0.0000 0.0000
Mo 2.0580 2.0580 0.0000
Se 2.0580 2.0580 2.3894
O 0.0000 2.0580 2.3894
O 2.0580 0.0000 2.3894
```

Summary:
For the formation energy (no corrections), the calculation gives 15.8 meV per atom. Its space-group type is P4/mmm (123). The mass density is 6.1 g/cm3.

***

The following is a SCAN calculation of Si3Mo2O12 at its PBEsol-relaxed geometry, from Alexandria via LeMat-Bulk.

extended XYZ file:
```
68
Lattice="-5.9192 5.9192 5.9192 5.9192 -5.9192 5.9192 5.9192 5.9192 -5.9192" Properties=species:S:1:pos:R:3 pbc="T T T"
Si 8.8787 1.4798 0.0000
Si 5.9192 -2.9596 4.4394
Si 4.4394 5.9192 -2.9596
Si 4.4394 0.0000 2.9596
Si 2.9596 4.4394 0.0000
Si 5.9192 2.9596 1.4798
Si 0.0000 2.9596 4.4394
Si 2.9596 1.4798 5.9192
Si 1.4798 5.9192 2.9596
Si 1.4798 0.0000 8.8787
Si 0.0000 8.8787 1.4798
Si -2.9596 4.4394 5.9192
Mo 0.0000 0.0000 0.0000
Mo 2.9596 2.9596 -2.9596
Mo 2.9596 -2.9596 2.9596
Mo 5.9192 0.0000 0.0000
Mo -2.9596 2.9596 2.9596
Mo 0.0000 5.9192 0.0000
Mo 0.0000 0.0000 5.9192
Mo 2.9596 2.9596 2.9596
O 1.7633 -0.4843 0.5147
O 7.1154 3.4743 -3.4439
O 7.6825 0.4843 0.5147
O 7.1154 -2.4448 3.4439
O 5.4348 -0.5147 1.7633
O 9.3631 -1.1963 2.4448
O 0.5147 1.7633 -0.4843
O 8.3640 2.4752 -1.1963
O 3.4743 3.4439 -1.1963
O 5.4044 1.7633 0.4843
O -0.4843 0.5147 1.7633
O 3.4439 -1.1963 3.4743
O 5.4348 5.4044 -1.7633
O 3.4439 1.1963 2.4448
O 3.4743 -3.4439 7.1154
O 5.4044 -1.7633 5.4348
O 2.4448 3.4439 1.1963
O 6.4339 4.1558 0.4843
O 3.4439 7.1154 -2.4448
O 5.4348 0.5147 4.1558
O 1.7633 5.4348 -0.5147
O 7.1154 2.4448 2.4752
O 1.1963 2.4448 3.4439
O 1.7633 0.4843 5.4044
O 4.1558 5.4348 0.5147
O 4.7229 3.4743 2.4752
O -1.1963 3.4743 3.4439
O 4.1558 0.4843 6.4339
O 0.4843 5.4044 1.7633
O 2.4752 -1.1963 8.3640
O -0.5147 1.7633 5.4348
O 3.4743 2.4752 4.7229
O 0.5147 7.6825 0.4843
O 2.4448 9.3631 -1.1963
O 2.4752 4.7229 3.4743
O 0.4843 0.5147 7.6825
O 2.4752 7.1154 2.4448
O 6.4035 5.4044 4.1558
O 0.5147 4.1558 5.4348
O 2.4448 2.4752 7.1154
O -2.4448 3.4439 7.1154
O 5.4044 4.1558 6.4035
O -3.4439 7.1154 3.4743
O 0.4843 6.4339 4.1558
O -1.1963 8.3640 2.4752
O -1.7633 5.4348 5.4044
O -1.1963 2.4448 9.3631
O 4.1558 6.4035 5.4044
```

Summary:
For the formation energy (no corrections), the calculation gives -2383.8 meV per atom. Its space-group type is Ia-3d (230). The mass density is 3.7 g/cm3.

***

The following is a SCAN calculation of Sm2Mo3O12 at its PBEsol-relaxed geometry, from Alexandria via LeMat-Bulk.

extended XYZ file:
```
34
Lattice="3.8205 -5.7211 0.0000 3.8205 5.7211 0.0000 -3.8134 0.0000 10.7594" Properties=species:S:1:pos:R:3 pbc="T T T"
Sm 0.9893 1.4544 0.9909
Sm -0.9174 -1.4544 6.3706
Sm 4.7449 1.4544 4.3888
Sm 2.8382 -1.4544 9.7685
Mo 2.8671 4.3550 2.6899
Mo 0.9148 1.6284 4.8213
Mo -0.9919 -1.6284 10.2010
Mo 4.8195 1.6284 0.5584
Mo 2.9127 -1.6284 5.9381
Mo 0.9604 -4.3550 8.0696
O 1.4863 3.3462 2.3614
O 3.3077 5.2504 1.1906
O 2.4266 5.2504 4.1891
O 0.7471 3.2903 6.2221
O 0.9834 0.8167 3.2542
O 3.1157 2.3019 0.4220
O 0.6208 0.3935 5.9972
O 1.1737 3.2903 9.9170
O -0.9234 -0.8167 8.6339
O 2.6186 2.3019 4.9577
O 2.5275 -0.3935 0.6175
O 4.2479 3.3462 3.0183
O -0.4204 -3.3462 7.7411
O 1.3000 0.3935 10.1419
O 1.2090 -2.3019 5.8017
O 4.7509 0.8167 2.1256
O 2.6538 -3.2903 0.8424
O 3.2068 -0.3935 4.7622
O 0.7118 -2.3019 10.3374
O 2.8442 -0.8167 7.5053
O 3.0804 -3.2903 4.5373
O 1.4009 -5.2504 6.5703
O 0.5199 -5.2504 9.5688
O 2.3412 -3.3462 8.3980
```

Summary:
For the formation energy (no corrections), the calculation gives -2737.6 meV per atom. Its space-group type is C2/c (15). The mass density is 5.5 g/cm3.

***

The following is a SCAN calculation of Sm3MoO7 at its PBEsol-relaxed geometry, from Alexandria via LeMat-Bulk.

extended XYZ file:
```
44
Lattice="7.4665 0.0000 0.0000 0.0000 7.4698 0.0000 0.0000 0.0000 10.6195" Properties=species:S:1:pos:R:3 pbc="T T T"
Sm 0.0174 0.4172 2.8337
Sm 0.0342 4.0172 8.2973
Sm 1.7845 5.3369 5.3905
Sm 1.9487 2.1328 0.0808
Sm 3.6990 3.4526 2.9876
Sm 3.7159 7.0525 8.1435
Sm 3.7506 3.3177 7.7857
Sm 3.7675 7.1875 2.3222
Sm 5.5178 5.8677 5.2290
Sm 5.6820 1.6020 10.5387
Sm 7.4323 0.2823 7.6319
Sm 7.4492 4.1521 2.4760
Mo 1.8515 5.6294 10.6103
Mo 1.8818 1.8403 5.3005
Mo 5.5847 5.5752 0.0092
Mo 5.6151 1.8945 5.3189
O 0.0207 1.4261 5.1799
O 0.0412 5.9103 3.9037
O 0.1264 1.8954 9.2200
O 1.5028 6.5711 9.0276
O 1.6076 3.2389 6.6546
O 1.6086 3.4765 4.0270
O 1.6481 7.1230 1.2324
O 2.0852 0.3468 6.5421
O 2.1247 3.9933 9.3368
O 2.1256 4.2309 1.3448
O 2.2305 0.8987 3.7179
O 3.6068 5.5743 3.9102
O 3.6921 1.5595 9.2135
O 3.7126 6.0437 10.4897
O 3.7539 2.3088 5.4395
O 3.7745 5.2944 6.7158
O 3.8597 1.8395 1.3995
O 5.2360 4.6335 1.5919
O 5.3419 0.2584 6.5925
O 5.3409 0.4960 3.9649
O 5.3813 4.0817 9.3871
O 5.8185 3.3881 4.0773
O 5.8589 6.9738 9.2746
O 5.8579 7.2113 1.2827
O 5.9638 2.8362 6.9016
O 7.3401 5.6303 6.7092
O 7.4253 2.1754 1.4060
O 7.4458 5.1610 0.1298
```

Summary:
For the formation energy (no corrections), the calculation gives -3313.5 meV per atom. Its space-group type is P2_12_12_1 (19). The mass density is 7.4 g/cm3.

***

The following is a SCAN calculation of Sm2MoO6 at its PBEsol-relaxed geometry, from Alexandria via LeMat-Bulk.

extended XYZ file:
```
36
Lattice="8.2355 -5.5956 0.0000 8.2355 5.5956 0.0000 -1.6702 0.0000 5.1654" Properties=species:S:1:pos:R:3 pbc="T T T"
Sm 1.3400 1.3069 4.5547
Sm 6.9828 4.3679 3.8740
Sm 2.1752 -1.3069 1.9720
Sm 7.8180 1.4890 1.2913
Sm 6.9828 -1.4890 3.8740
Sm 12.6256 1.3069 3.1934
Sm 7.8180 -4.3679 1.2913
Sm 13.4608 -1.3069 0.6107
Mo 4.7683 1.6094 2.9041
Mo 5.6034 -1.6094 0.3214
Mo 9.1974 1.6094 4.8440
Mo 10.0325 -1.6094 2.2613
O 4.0205 2.2692 1.3759
O 1.3850 0.1779 0.4076
O 0.5499 -0.1779 2.9903
O 6.3051 2.9315 2.1494
O 5.0535 2.4762 4.4737
O 3.3371 0.6015 3.3050
O 9.3308 2.9315 0.4333
O 4.1722 -0.6015 0.7223
O 8.9122 2.4762 3.2744
O 6.0424 0.3794 2.6749
O 6.8775 -0.3794 0.0922
O 3.1853 -2.2692 3.9586
O 11.6155 2.2692 1.2068
O 7.9233 0.3794 5.0732
O 8.7584 -0.3794 2.4905
O 5.8886 -2.4762 1.8910
O 10.6286 0.6015 4.4431
O 5.4700 -2.9315 4.7321
O 11.4637 -0.6015 1.8604
O 9.7473 -2.4762 0.6917
O 8.4957 -2.9315 3.0160
O 14.2509 0.1779 2.1751
O 13.4158 -0.1779 4.7578
O 10.7803 -2.2692 3.7895
```

Summary:
For the formation energy (no corrections), the calculation gives -3196.0 meV per atom. Its space-group type is C2/c (15). The mass density is 6.9 g/cm3.

***

The following is a SCAN calculation of SnMoO2 at its PBEsol-relaxed geometry, from Alexandria via LeMat-Bulk.

extended XYZ file:
```
4
Lattice="1.6262 0.9389 6.6319 -1.6262 0.9389 6.6319 0.0000 -1.8778 6.6319" Properties=species:S:1:pos:R:3 pbc="T T T"
Sn 0.0000 0.0000 0.0000
Mo 0.0000 0.0000 9.9479
O 0.0000 0.0000 2.3876
O 0.0000 0.0000 17.5082
```

Summary:
For the formation energy (no corrections), the calculation gives -1278.2 meV per atom. Its space-group type is R-3m (166). The mass density is 6.7 g/cm3.

***

The following is a SCAN calculation of SnMoO2 at its PBEsol-relaxed geometry, from Alexandria via LeMat-Bulk.

extended XYZ file:
```
4
Lattice="1.5209 0.8781 7.3057 -1.5209 0.8781 7.3057 0.0000 -1.7562 7.3057" Properties=species:S:1:pos:R:3 pbc="T T T"
Sn 0.0000 0.0000 0.0000
Mo 0.0000 0.0000 10.9586
O 0.0000 0.0000 9.1335
O 0.0000 0.0000 12.7837
```

Summary:
For the formation energy (no corrections), the calculation gives -743.1 meV per atom. Its space-group type is R-3m (166). The mass density is 7.0 g/cm3.

***

The following is a SCAN calculation of ZnSnMo2O at its PBEsol-relaxed geometry, from Alexandria via LeMat-Bulk.

extended XYZ file:
```
5
Lattice="5.1857 0.0000 0.0000 0.0000 5.1857 0.0000 0.0000 0.0000 3.9701" Properties=species:S:1:pos:R:3 pbc="T T T"
Zn 0.0000 0.0000 0.0000
Sn 2.5928 2.5928 1.9851
Mo 0.0000 2.5928 1.9851
Mo 2.5928 0.0000 1.9851
O 2.5928 2.5928 0.0000
```

Summary:
For the formation energy (no corrections), the calculation gives 1505.3 meV per atom. Its space-group type is P4/mmm (123). The mass density is 6.1 g/cm3.

***

The following is a SCAN calculation of SrMoO4 at its PBEsol-relaxed geometry, from Alexandria via LeMat-Bulk.

extended XYZ file:
```
12
Lattice="-2.6904 2.6904 5.9525 2.6904 -2.6904 5.9525 2.6904 2.6904 -5.9525" Properties=species:S:1:pos:R:3 pbc="T T T"
Sr 0.0000 1.3452 1.4881
Sr 2.6904 1.3452 4.4644
Mo 2.6904 1.3452 -1.4881
Mo 0.0000 1.3452 7.4406
O 1.4168 0.5973 -0.5091
O 1.9425 -0.0715 2.4672
O 1.9425 2.6189 -2.4672
O 1.2737 -0.5973 5.4434
O 1.4168 3.2877 0.5091
O 0.7479 0.0715 8.4196
O 0.7479 2.7620 3.4853
O 1.2737 2.0931 6.4616
```

Summary:
For the formation energy (no corrections), the calculation gives -2790.3 meV per atom. Its space-group type is I4_1/a (88). The mass density is 4.8 g/cm3.

***

The following is a SCAN calculation of Sr2MoO4 at its PBEsol-relaxed geometry, from Alexandria via LeMat-Bulk.

extended XYZ file:
```
7
Lattice="-1.9368 1.9368 6.4265 1.9368 -1.9368 6.4265 1.9368 1.9368 -6.4265" Properties=species:S:1:pos:R:3 pbc="T T T"
Sr 0.0000 0.0000 1.9165
Sr 0.0000 0.0000 10.9365
Mo 0.0000 0.0000 6.4265
O 1.9368 0.0000 0.0000
O 0.0000 0.0000 4.3265
O 0.0000 1.9368 0.0000
O 0.0000 0.0000 8.5265
```

Summary:
For the formation energy (no corrections), the calculation gives -2720.1 meV per atom. Its space-group type is I4/mmm (139). The mass density is 5.8 g/cm3.

***

The following is a SCAN calculation of Sr2TiMoO6 at its PBEsol-relaxed geometry, from Alexandria via LeMat-Bulk.

extended XYZ file:
```
10
Lattice="-2.7740 2.7740 3.9258 2.7740 -2.7740 3.9258 2.7740 2.7740 -3.9258" Properties=species:S:1:pos:R:3 pbc="T T T"
Sr 2.7740 0.0000 1.9629
Sr 0.0000 2.7740 1.9629
Ti 0.0000 0.0000 0.0000
Mo 0.0000 0.0000 3.9258
O 4.1160 1.3435 0.0000
O 0.0000 0.0000 1.9640
O 1.3435 1.4320 0.0000
O 1.4305 1.3420 3.9258
O 0.0000 0.0000 5.8876
O -1.3420 1.4305 3.9258
```

Summary:
For the formation energy (no corrections), the calculation gives -3033.1 meV per atom. Its space-group type is I4/m (87). The mass density is 5.7 g/cm3.

***

The following is a SCAN calculation of SrUMo4O16 at its PBEsol-relaxed geometry, from Alexandria via LeMat-Bulk.

extended XYZ file:
```
44
Lattice="8.4302 0.0000 0.0000 0.0000 6.7350 0.0000 -8.3256 0.0000 11.4694" Properties=species:S:1:pos:R:3 pbc="T T T"
Sr -2.0814 1.3106 2.8673
Sr -6.2442 5.4244 8.6020
U 2.1337 1.3101 2.8673
U -2.0291 5.4250 8.6020
Mo -5.8302 2.2574 10.3874
Mo -1.6674 4.4776 4.6527
Mo -2.4521 2.2741 6.8345
Mo 1.7108 4.4609 1.0998
Mo -1.6062 2.2741 10.3695
Mo 2.5566 4.4609 4.6348
Mo 1.7719 2.2574 6.8167
Mo 5.9348 4.4776 1.0820
O -6.2442 2.8710 8.6020
O -2.0814 3.8641 2.8673
O -4.1563 2.3627 6.8671
O 0.0066 4.3723 1.1325
O -6.1672 0.5983 10.1430
O -2.0044 6.1367 4.4083
O -2.0724 2.4127 5.0632
O -6.2352 4.3223 10.7979
O 0.3206 1.3067 2.9151
O -3.8422 5.4284 8.6498
O 2.0954 2.3507 0.7976
O -2.0674 4.3843 6.5323
O -2.1275 0.5891 7.2464
O 2.0354 6.1459 1.5117
O -4.1220 2.3453 10.3544
O 0.0408 4.3898 4.6197
O -2.0291 3.0080 8.6020
O 2.1337 3.7271 2.8673
O 0.0638 2.3453 6.8497
O 4.2266 4.3898 1.1150
O -1.9308 0.5891 9.9577
O 2.2321 6.1459 4.2230
O 2.1720 2.3507 4.9371
O -1.9908 4.3843 10.6718
O 3.9468 1.3067 2.8196
O -0.2160 5.4284 8.5543
O 6.3398 2.4127 0.6715
O 2.1770 4.3223 6.4062
O 2.1090 0.5983 7.0611
O 6.2718 6.1367 1.3264
O 0.0980 2.3627 10.3369
O 4.2609 4.3723 4.6022
```

Summary:
For the formation energy (no corrections), the calculation gives -2482.6 meV per atom. Its space-group type is P2/c (13). The mass density is 4.9 g/cm3.

***

The following is a SCAN calculation of Ta2Mo2O11 at its PBEsol-relaxed geometry, from Alexandria via LeMat-Bulk.

extended XYZ file:
```
15
Lattice="2.8230 1.6299 8.6107 -2.8230 1.6299 8.6107 0.0000 -3.2597 8.6107" Properties=species:S:1:pos:R:3 pbc="T T T"
Ta 0.0000 0.0000 3.3039
Ta 0.0000 0.0000 22.5281
Mo 0.0000 0.0000 10.0226
Mo 0.0000 0.0000 15.8095
O -2.8230 0.0000 12.9160
O -1.4115 0.8149 4.3053
O 0.0000 -1.6774 10.6306
O -1.4526 0.8387 10.6306
O -1.4526 -0.8387 15.2015
O 0.0000 0.0000 8.3266
O 1.4115 0.8149 4.3053
O 0.0000 0.0000 17.5055
O 1.4526 0.8387 10.6306
O 1.4526 -0.8387 15.2015
O 0.0000 1.6774 15.2015
```

Summary:
For the formation energy (no corrections), the calculation gives -2537.3 meV per atom. Its space-group type is R-3m (166). The mass density is 5.1 g/cm3.

***

Number 1: size of the total moment 0.00 μB/atom. Number 2: size of the total moment 0.58 μB/atom. Number 3: size of the total moment 0.00 μB/atom. Number 4: size of the total moment 0.00 μB/atom. Number 5: size of the total moment 0.09 μB/atom. Number 6: size of the total moment 0.00 μB/atom. Number 7: size of the total moment 0.68 μB/atom. Number 8: size of the total moment 0.00 μB/atom. Number 9: size of the total moment 1.41 μB/atom. Number 10: size of the total moment 0.00 μB/atom. Number 11: size of the total moment 0.00 μB/atom. Number 12: size of the total moment 0.00 μB/atom. Number 13: size of the total moment 0.00 μB/atom. Number 14: size of the total moment 0.00 μB/atom.